The following is a DFT calculation (GGA-PBE) of a relaxed structure of Ba2AlCuO4.

abc: 6.0089 6.0089 7.0568
angles: 90.00 90.00 90.00
With the nearest neighbours (Å) after each atom.
Space group I-4 (No. 82)
Symmetry-distinct sites (fractional):
Ba (0.0000, 0.0000, 0.0000) (multiplicity 2)  8 O 2.92-2.99
Ba (0.0000, 0.5000, 0.2500) (multiplicity 2)  4 O 2.60
Al (0.0000, 0.0000, 0.5000) (multiplicity 2)  4 O 1.80
Cu (0.0000, 0.5000, 0.7500) (multiplicity 2)  4 O 2.12
O (0.1456, 0.2077, 0.6353) (multiplicity 8)  1 Al 1.80

Properties
- ΔE_f (raw) (eV/atom) = -2.16
- VASP energy (eV/atom) = -6.099
- volume (A^3/atom) = 15.92


The following is a DFT calculation (GGA-PBE) of a relaxed structure of Ba2AlCu3O8.

abc: 3.8142 3.8142 11.6148
angles: 90.00 90.00 90.00
With the nearest neighbours (Å) after each atom.
Space group P4/mmm (No. 123)
Symmetry-distinct sites (fractional):
Ba (0.0000, 0.0000, 0.1726) (multiplicity 2)  8 O 2.70-2.77
Al (0.0000, 0.0000, 0.5000) (multiplicity 1)  8 O 2.25
Cu (0.5000, 0.5000, 0.0000) (multiplicity 1)  6 O 1.91-2.13
Cu (0.5000, 0.5000, 0.3560) (multiplicity 2)  5 O 1.97-2.01
O (0.0000, 0.5000, 0.0000) (multiplicity 2)  2 Cu 1.91
O (0.0000, 0.5000, 0.3971) (multiplicity 4)  2 Cu 1.97
O (0.5000, 0.5000, 0.1833) (multiplicity 2)  2 Cu 2.01-2.13

Properties
- ΔE_f (raw) (eV/atom) = -1.34
- VASP energy (eV/atom) = -5.595
- volume (A^3/atom) = 12.07


The following is a DFT calculation (GGA-PBE) of a relaxed structure of BaAlCuSbO5.

abc: 3.7491 3.7491 19.1108
angles: 90.00 90.00 90.00
With the nearest neighbours (Å) after each atom.
Space group I4mm (No. 107)
Symmetry-distinct sites (fractional):
Ba (0.0000, 0.0000, 0.0000) (multiplicity 2)  8 O 2.77-2.81
Al (0.0000, 0.0000, 0.3602) (multiplicity 2)  1 O 1.74
Cu (0.0000, 0.0000, 0.7960) (multiplicity 2)  4 O 1.98
Sb (0.0000, 0.0000, 0.6525) (multiplicity 2)  4 O 2.07
O (0.0000, 0.0000, 0.4513) (multiplicity 2)  1 Al 1.74
O (0.0000, 0.5000, 0.1068) (multiplicity 4)  2 Sb 2.07
O (0.0000, 0.5000, 0.3292) (multiplicity 4)  2 Al 1.97, 2 Cu 1.98

Properties
- energy above the most stable polymorph in this dataset (eV per atom) = 0.000
- ΔE_f (raw) (eV/atom) = -1.88
- VASP energy (eV/atom) = -6.180
- volume (A^3/atom) = 14.92


The following is a DFT calculation (GGA-PBE) of a relaxed structure of BaAlCuSbO5.

abc: 3.9188 3.9188 9.8801
angles: 90.00 90.00 90.00
With the nearest neighbours (Å) after each atom.
Space group P4mm (No. 99)
Symmetry-distinct sites (fractional):
Ba (0.0000, 0.0000, 0.0000) (multiplicity 1)  8 O 2.76-2.78
Al (0.0000, 0.0000, 0.4253) (multiplicity 1)  4 O 1.96
Cu (0.5000, 0.5000, 0.5130) (multiplicity 1)  4 O 2.14
Sb (0.5000, 0.5000, 0.7722) (multiplicity 1)  5 O 1.98-2.08
O (0.0000, 0.5000, 0.4253) (multiplicity 2)  2 Al 1.96, 2 Cu 2.14
O (0.0000, 0.5000, 0.8032) (multiplicity 2)  2 Sb 1.98
O (0.5000, 0.5000, 0.9828) (multiplicity 1)  1 Sb 2.08

Properties
- energy above the most stable polymorph in this dataset (eV per atom) = 0.363
- ΔE_f (raw) (eV/atom) = -1.52
- VASP energy (eV/atom) = -5.817
- volume (A^3/atom) = 16.86


The following is a DFT calculation (GGA-PBE) of a relaxed structure of Ba6Sm3AlCu8O20.

abc: 5.5395 8.7050 12.7086
angles: 74.68 77.82 72.68
With the nearest neighbours (Å) after each atom.
Space group P-1 (No. 2)
Symmetry-distinct sites (fractional):
Ba (0.0680, 0.0691, 0.3078) (multiplicity 2)  9 O 2.76-3.00
Ba (0.2622, 0.2656, 0.6932) (multiplicity 2)  9 O 2.74-3.06
Ba (0.3890, 0.3974, 0.3085) (multiplicity 2)  7 O 2.69-2.98
Sm (0.1667, 0.1661, 0.0004) (multiplicity 2)  8 O 2.44-2.49
Sm (0.5000, 0.5000, 0.0000) (multiplicity 1)  8 O 2.44-2.48
Al (0.5000, 0.0000, 0.5000) (multiplicity 1)  4 O 1.81-1.85
Cu (0.0481, 0.5439, 0.8621) (multiplicity 2)  4 O 1.95-1.99
Cu (0.1323, 0.6887, 0.4985) (multiplicity 2)  3 O 1.84-1.92
Cu (0.2884, 0.7882, 0.1391) (multiplicity 2)  4 O 1.95-1.99
Cu (0.3785, 0.8784, 0.8612) (multiplicity 2)  4 O 1.94-2.00
O (0.0403, 0.0410, 0.8758) (multiplicity 2)  2 Cu 1.99
O (0.1255, 0.6265, 0.1234) (multiplicity 2)  2 Cu 1.95
O (0.1584, 0.6022, 0.6461) (multiplicity 2)  1 Cu 1.85
O (0.2084, 0.1719, 0.4852) (multiplicity 2)  1 Al 1.85, 1 Cu 1.92
O (0.2077, 0.7066, 0.8774) (multiplicity 2)  2 Cu 1.94-1.95
O (0.2335, 0.7191, 0.3485) (multiplicity 2)  1 Cu 1.84
O (0.2901, 0.2931, 0.1265) (multiplicity 2)  2 Cu 1.99-2.00
O (0.3738, 0.3721, 0.8782) (multiplicity 2)  2 Cu 1.98
O (0.4301, 0.9549, 0.6490) (multiplicity 2)  1 Al 1.81
O (0.4593, 0.9612, 0.1228) (multiplicity 2)  2 Cu 1.94-1.95

Properties
- ΔE_f (raw) (eV/atom) = -1.92
- VASP energy (eV/atom) = -6.170
- volume (A^3/atom) = 14.69


The following is a DFT calculation (GGA-PBE) of a relaxed structure of BaAlCuSnO5.

abc: 3.8343 3.8343 8.5445
angles: 90.00 90.00 90.00
With the nearest neighbours (Å) after each atom.
Space group P4mm (No. 99)
Symmetry-distinct sites (fractional):
Ba (0.0000, 0.0000, 0.0000) (multiplicity 1)  8 O 2.88-2.89
Al (0.0000, 0.0000, 0.3923) (multiplicity 1)  8 O 2.25-2.34
Cu (0.5000, 0.5000, 0.2401) (multiplicity 1)  4 O 1.92
Sn (0.5000, 0.5000, 0.6469) (multiplicity 1)  5 O 2.03-2.09
O (0.0000, 0.5000, 0.2538) (multiplicity 2)  2 Cu 1.92
O (0.0000, 0.5000, 0.5485) (multiplicity 2)  2 Sn 2.09, 2 Al 2.34
O (0.5000, 0.5000, 0.8848) (multiplicity 1)  1 Sn 2.03

Properties
- ΔE_f (raw) (eV/atom) = -1.59
- VASP energy (eV/atom) = -5.874
- volume (A^3/atom) = 13.96


The following is a DFT calculation (GGA-PBE) of a relaxed structure of BaTiAlCuO5.

abc: 3.8252 3.8252 7.7674
angles: 90.00 90.00 90.00
With the nearest neighbours (Å) after each atom.
Space group P4mm (No. 99)
Symmetry-distinct sites (fractional):
Ba (0.0000, 0.0000, 0.0000) (multiplicity 1)  8 O 2.80-2.96
Ti (0.5000, 0.5000, 0.6745) (multiplicity 1)  5 O 1.82-1.97
Al (0.0000, 0.0000, 0.4327) (multiplicity 1)  8 O 2.21-2.38
Cu (0.5000, 0.5000, 0.2714) (multiplicity 1)  4 O 1.92
O (0.0000, 0.5000, 0.2913) (multiplicity 2)  2 Cu 1.92
O (0.0000, 0.5000, 0.6157) (multiplicity 2)  2 Ti 1.97
O (0.5000, 0.5000, 0.9092) (multiplicity 1)  1 Ti 1.82

Properties
- ΔE_f (raw) (eV/atom) = -2.09
- VASP energy (eV/atom) = -6.807
- volume (A^3/atom) = 12.63


The following is a DFT calculation (GGA-PBE) of a relaxed structure of BaAlCuP.

abc: 3.9574 3.9574 12.4009
angles: 90.00 90.00 90.00
With the nearest neighbours (Å) after each atom.
Space group P4/nmm (No. 129, origin choice 2)
Symmetry-distinct sites (fractional):
Ba (0.2500, 0.2500, 0.2329) (multiplicity 2)  4 P 3.20, 4 Cu 3.50
Al (0.2500, 0.7500, 0.5000) (multiplicity 2)  4 Al 2.80
Cu (0.2500, 0.7500, 0.0000) (multiplicity 2)  4 P 2.38
P (0.2500, 0.2500, 0.8929) (multiplicity 2)  4 Cu 2.38

Properties
- VASP energy (eV/atom) = -4.149
- volume (A^3/atom) = 24.28


The following is a DFT calculation (GGA-PBE) of a relaxed structure of BaAlCuP2.

abc: 7.1356 5.9080 5.9184
angles: 90.00 114.44 90.00
With the nearest neighbours (Å) after each atom.
Space group P2/c (No. 13)
Symmetry-distinct sites (fractional):
Ba (0.0000, 0.2485, 0.2500) (multiplicity 2)  8 P 3.30-3.64, 2 Cu 3.56
Al (0.5000, 0.5001, 0.2500) (multiplicity 2)  4 P 2.42
Cu (0.5000, 0.0000, 0.0000) (multiplicity 2)  2 P 2.21
P (0.2797, 0.2846, 0.8902) (multiplicity 4)  1 Cu 2.21, 2 Al 2.42

Properties
- VASP energy (eV/atom) = -4.763
- volume (A^3/atom) = 22.72


The following is a DFT calculation (GGA-PBE) of a relaxed structure of BaAl6CuPd.

abc: 7.3492 8.8061 13.4500
angles: 90.00 90.00 90.00
With the nearest neighbours (Å) after each atom.
Space group Imma (No. 74)
Symmetry-distinct sites (fractional):
Ba (0.0000, 0.2500, 0.1248) (multiplicity 4)  8 Al 3.39-3.79
Al (0.0000, 0.2500, 0.4067) (multiplicity 4)  2 Pd 2.53
Al (0.0000, 0.2500, 0.8656) (multiplicity 4)  2 Cu 2.41
Al (0.1904, 0.0323, 0.6503) (multiplicity 16)  1 Cu 2.38, 1 Pd 2.47
Cu (0.2500, 0.2500, 0.7500) (multiplicity 4)  6 Al 2.38-2.41
Pd (0.0000, 0.0000, 0.5000) (multiplicity 4)  6 Al 2.47-2.53

Properties
- VASP energy (eV/atom) = -3.687
- volume (A^3/atom) = 24.18


The following is a DFT calculation (GGA-PBE) of a relaxed structure of Ba2Al12CuPd3.

abc: 9.3527 9.3527 18.3853
angles: 90.00 90.00 120.00
With the nearest neighbours (Å) after each atom.
Space group R-3m (No. 166, hexagonal axes)
Symmetry-distinct sites (fractional):
Ba (0.0000, 0.0000, 0.1064) (multiplicity 6)  3 Al 3.36
Al (0.0265, 0.5133, 0.1365) (multiplicity 18)  1 Pd 2.52, 1 Cu 2.55, 4 Al 2.72-2.75
Al (0.1062, 0.2125, 0.6193) (multiplicity 18)  2 Pd 2.52, 2 Al 2.75, 1 Cu 2.79
Cu (0.0000, 0.0000, 0.5000) (multiplicity 3)  12 Al 2.55-2.79
Pd (0.0000, 0.5000, 0.0000) (multiplicity 9)  6 Al 2.52

Properties
- VASP energy (eV/atom) = -3.908
- volume (A^3/atom) = 25.79


The following is a DFT calculation (GGA-PBE) of a relaxed structure of BaAlCuPt.

abc: 7.6151 4.4054 6.2507
angles: 90.00 113.83 90.00
With the nearest neighbours (Å) after each atom.
Space group Cm (No. 8)
Symmetry-distinct sites (fractional):
Ba (0.0000, 0.0000, 0.0000) (multiplicity 2)  4 Cu 3.23-3.56, 4 Pt 3.30-3.51
Al (0.0091, 0.5000, 0.5279) (multiplicity 2)  3 Pt 2.56, 3 Cu 2.58-2.60
Cu (0.3108, 0.5000, 0.4358) (multiplicity 2)  3 Al 2.58-2.60, 3 Pt 2.67
Pt (0.1915, 0.0000, 0.5771) (multiplicity 2)  3 Al 2.56, 3 Cu 2.67

Properties
- VASP energy (eV/atom) = -4.557
- volume (A^3/atom) = 23.98


The following is a DFT calculation (GGA-PBE) of a relaxed structure of BaAlCuSe3.

abc: 12.5360 7.5083 7.9510
angles: 90.00 112.32 90.00
With the nearest neighbours (Å) after each atom.
Space group C2/m (No. 12)
Symmetry-distinct sites (fractional):
Ba (0.2006, 0.0000, 0.2141) (multiplicity 4)  5 Se 3.22-3.57
Al (0.0442, 0.5000, 0.2633) (multiplicity 4)  3 Se 2.28-2.34
Cu (0.0000, 0.2323, 0.5000) (multiplicity 4)  2 Se 2.30
Se (0.0670, 0.2407, 0.8116) (multiplicity 8)  1 Cu 2.30, 1 Al 2.34
Se (0.2398, 0.5000, 0.3549) (multiplicity 4)  1 Al 2.28

Properties
- ΔE_f (raw) (eV/atom) = -0.96
- VASP energy (eV/atom) = -4.327
- volume (A^3/atom) = 28.85


The following is a DFT calculation (GGA-PBE) of a relaxed structure of BaAlCuSe3.

abc: 3.9950 10.2753 7.1709
angles: 90.00 106.16 90.00
With the nearest neighbours (Å) after each atom.
Space group P2_1/m (No. 11)
Symmetry-distinct sites (fractional):
Ba (0.2497, 0.2500, 0.9997) (multiplicity 2)  8 Se 3.28-3.46, 2 Cu 3.50
Al (0.0000, 0.0000, 0.5000) (multiplicity 2)  6 Se 2.66-2.70
Cu (0.4595, 0.7500, 0.4178) (multiplicity 2)  4 Se 2.43-2.45
Se (0.0617, 0.7500, 0.6226) (multiplicity 2)  2 Cu 2.45, 2 Al 2.70
Se (0.3761, 0.5409, 0.2525) (multiplicity 4)  1 Cu 2.43, 2 Al 2.66

Properties
- ΔE_f (raw) (eV/atom) = -0.99
- VASP energy (eV/atom) = -4.364
- volume (A^3/atom) = 23.56


The following is a DFT calculation (GGA-PBE) of a relaxed structure of BaAlCuSi2.

abc: 4.3998 4.3998 10.4049
angles: 90.00 90.00 90.00
With the nearest neighbours (Å) after each atom.
Space group I-4m2 (No. 119)
Symmetry-distinct sites (fractional):
Ba (0.0000, 0.0000, 0.0000) (multiplicity 2)  8 Si 3.36, 4 Cu 3.41, 4 Al 3.41
Al (0.0000, 0.5000, 0.2500) (multiplicity 2)  4 Si 2.57
Cu (0.0000, 0.5000, 0.7500) (multiplicity 2)  4 Si 2.57
Si (0.0000, 0.0000, 0.3782) (multiplicity 4)  1 Si 2.53, 2 Al 2.57, 2 Cu 2.57

Properties
- ΔE_f (raw) (eV/atom) = -0.28
- VASP energy (eV/atom) = -4.402
- volume (A^3/atom) = 20.14


The following is a DFT calculation (GGA-PBE) of a relaxed structure of BaSrAlCu.

abc: 4.4226 4.4226 25.6998
angles: 90.00 90.00 120.00
With the nearest neighbours (Å) after each atom.
Space group R3m (No. 160, hexagonal axes)
Symmetry-distinct sites (fractional):
Ba (0.0000, 0.0000, 0.0000) (multiplicity 3)  3 Al 3.47, 3 Cu 3.50
Sr (0.0000, 0.0000, 0.8246) (multiplicity 3)  3 Cu 3.32, 3 Al 3.34
Al (0.0000, 0.0000, 0.2420) (multiplicity 3)  3 Cu 2.55
Cu (0.0000, 0.0000, 0.5736) (multiplicity 3)  3 Al 2.55

Properties
- VASP energy (eV/atom) = -2.981
- volume (A^3/atom) = 36.27


The following is a DFT calculation (GGA-PBE) of a relaxed structure of BaSr2AlCu.

abc: 6.0055 6.0055 4.9735
angles: 90.00 90.00 90.00
With the nearest neighbours (Å) after each atom.
Space group P4/mmm (No. 123)
Symmetry-distinct sites (fractional):
Ba (0.0000, 0.0000, 0.0000) (multiplicity 1)  8 Sr 3.90, 4 Al 4.25
Sr (0.0000, 0.5000, 0.5000) (multiplicity 2)  2 Cu 3.00
Al (0.5000, 0.5000, 0.0000) (multiplicity 1)  2 Cu 2.49
Cu (0.5000, 0.5000, 0.5000) (multiplicity 1)  2 Al 2.49

Properties
- VASP energy (eV/atom) = -2.601
- volume (A^3/atom) = 35.87


The following is a DFT calculation (GGA-PBE) of a relaxed structure of BaTa2AlCu.

abc: 4.9699 4.9699 4.5573
angles: 90.00 90.00 90.00
With the nearest neighbours (Å) after each atom.
Space group P4/mmm (No. 123)
Symmetry-distinct sites (fractional):
Ba (0.0000, 0.0000, 0.0000) (multiplicity 1)  8 Ta 3.37, 4 Al 3.51
Ta (0.0000, 0.5000, 0.5000) (multiplicity 2)  2 Cu 2.48
Al (0.5000, 0.5000, 0.0000) (multiplicity 1)  2 Cu 2.28
Cu (0.5000, 0.5000, 0.5000) (multiplicity 1)  2 Al 2.28, 4 Ta 2.48

Properties
- VASP energy (eV/atom) = -5.668
- volume (A^3/atom) = 22.51


The following is a DFT calculation (GGA-PBE) of a relaxed structure of BaAlCuTc2.

abc: 4.8203 4.8203 4.6811
angles: 90.00 90.00 90.00
With the nearest neighbours (Å) after each atom.
Space group P4/mmm (No. 123)
Symmetry-distinct sites (fractional):
Ba (0.0000, 0.0000, 0.0000) (multiplicity 1)  8 Tc 3.36, 4 Cu 3.41
Al (0.5000, 0.5000, 0.5000) (multiplicity 1)  2 Cu 2.34, 4 Tc 2.41
Cu (0.5000, 0.5000, 0.0000) (multiplicity 1)  2 Al 2.34
Tc (0.0000, 0.5000, 0.5000) (multiplicity 2)  2 Al 2.41

Properties
- VASP energy (eV/atom) = -5.201
- volume (A^3/atom) = 21.75


The following is a DFT calculation (GGA-PBE) of a relaxed structure of Ba2AlTlCu.

abc: 6.2142 6.2142 4.6923
angles: 90.00 90.00 90.00
With the nearest neighbours (Å) after each atom.
Space group P4/mmm (No. 123)
Symmetry-distinct sites (fractional):
Ba (0.0000, 0.5000, 0.0000) (multiplicity 2)  2 Cu 3.11
Al (0.0000, 0.0000, 0.5000) (multiplicity 1)  2 Cu 2.35
Tl (0.5000, 0.5000, 0.5000) (multiplicity 1)  8 Ba 3.89
Cu (0.0000, 0.0000, 0.0000) (multiplicity 1)  2 Al 2.35

Properties
- VASP energy (eV/atom) = -2.915
- volume (A^3/atom) = 36.24


Number 1: density 5.6 Mg/m³. Number 2: density 6.1 Mg/m³. Number 3: density 5.3 Mg/m³. Number 4: density 4.7 Mg/m³. Number 5: density 6.3 Mg/m³. Number 6: density 5.6 Mg/m³. Number 7: density 5.2 Mg/m³. Number 8: density 4.4 Mg/m³. Number 9: density 4.2 Mg/m³. Number 10: density 3.6 Mg/m³. Number 11: density 3.5 Mg/m³. Number 12: density 7.3 Mg/m³. Number 13: density 4.5 Mg/m³. Number 14: density 5.5 Mg/m³. Number 15: density 4.7 Mg/m³. Number 16: density 3.6 Mg/m³. Number 17: density 3.7 Mg/m³. Number 18: density 8.7 Mg/m³. Number 19: density 6.5 Mg/m³. Number 20: density 5.2 Mg/m³.